A relaxed structure of VRuOF2. Source: Alexandria, functional PBE+U.

The structure in CIF format:
```
data_VRuOF2
_chemical_formula_sum 'V1 Ru1 O1 F2'
_space_group_name_H-M_alt 'P 4/m m m'
_space_group_IT_number 123
_space_group_name_Hall '-P 4 2'
_cell_length_a 4.382
_cell_length_b 4.382
_cell_length_c 3.734
_cell_angle_alpha 90.00
_cell_angle_beta 90.00
_cell_angle_gamma 90.00
loop_
_atom_site_label
_atom_site_fract_x
_atom_site_fract_y
_atom_site_fract_z
_atom_site_occupancy
V1 0.000 0.000 0.000 1
Ru1 0.500 0.500 0.500 1
O1 0.500 0.500 0.000 1
F1 0.000 0.500 0.500 1
```

Computed properties:
Volume, Å³/atom: 14.34
VASP energy, eV/atom: -5.5113
Polymorph energy (0 for the lowest one), eV per atom: 0.587
Total moment, μB per formula unit: 1.538